36
Lattice="6.566 0.000 0.000 0.129 8.835 0.000 0.245 3.173 9.648" Properties=species:S:1:pos:R:3 comment="Ag4GeO4 PBE-GGA relaxed" e_form_raw_ev_per_atom=-0.5848 energy_ev_per_atom=-4.569 de_polymorph_kcal_per_mol_atoms=0.00 pbc="T T T"
Ag 0.142 0.922 2.345
Ag 0.215 3.787 1.613
Ag 1.113 5.116 5.622
Ag 1.591 7.336 0.096
Ag 1.798 2.713 3.889
Ag 2.912 6.232 3.419
Ag 3.461 8.470 8.332
Ag 3.490 11.160 7.288
Ag 3.450 0.849 2.360
Ag 3.479 3.539 1.316
Ag 4.028 5.777 6.229
Ag 5.142 9.295 5.759
Ag 5.349 4.673 9.552
Ag 5.827 6.892 4.026
Ag 6.725 8.222 8.035
Ag 6.798 11.087 7.303
Ge 1.899 8.509 5.377
Ge 1.931 5.001 9.007
Ge 5.009 7.008 0.641
Ge 5.041 3.500 4.271
O 0.463 7.584 5.958
O 0.552 6.121 9.255
O 1.740 4.094 7.493
O 1.790 10.250 5.772
O 1.757 0.671 0.738
O 2.059 8.212 3.639
O 3.346 7.851 6.250
O 3.439 5.970 8.929
O 3.501 6.039 0.719
O 3.595 4.158 3.398
O 4.881 3.797 6.009
O 5.183 11.338 8.910
O 5.150 1.759 3.876
O 5.200 7.915 2.155
O 6.388 5.887 0.393
O 6.477 4.425 3.690